Arrangement a

Compound: Mg2ZnAs
Source: the Alexandria database
Functional: meta-GGA SCAN
Structure: PBEsol geometry

Properties
V: 77 Å³ per cell
theoretical density: 4.1 g/cm³

```
Mg2ZnAs
1.0
2.1861 -2.2090 0.0000
2.1861 2.2090 0.0000
0.0000 0.0000 7.9520
Mg Zn As
2 1 1
Cartesian
0.0000 0.0000 0.0000
2.1861 0.0000 2.4034
0.0000 0.0000 4.3031
2.1861 0.0000 6.0538
```

***

Arrangement b

Compound: Mg2ZnAs
Source: the Alexandria database
Functional: meta-GGA SCAN
Structure: PBEsol geometry

Properties
V: 73 Å³ per cell
theoretical density: 4.3 g/cm³

```
Mg2ZnAs
1.0
4.3651 0.0000 0.0000
0.0000 4.3651 0.0000
0.0000 0.0000 3.8093
Mg Zn As
2 1 1
Cartesian
0.0000 2.1826 0.0000
2.1826 0.0000 0.0000
0.0000 0.0000 1.9047
2.1826 2.1826 1.9047
```

***

The relative energies come out as arrangement a 240; arrangement b 0, with values in meV/atom.